Model P:
The following is a GGA-PBE calculation of crystalline PrDySb2 at its relaxed geometry, from OQMD via LeMat-Bulk.

Structure (CIF):
```
data_PrDySb2
_space_group_name_H-M_alt 'P 4/n m m'
_space_group_IT_number 129
_cell_length_a 4.518
_cell_length_b 4.518
_cell_length_c 11.544
_cell_angle_alpha 90.00
_cell_angle_beta 90.00
_cell_angle_gamma 90.00
loop_
_space_group_symop_operation_xyz
'x,y,z'
'-x,-y,-z'
'-y+1/2,x,z'
'y+1/2,-x,-z'
'-x+1/2,-y+1/2,z'
'x+1/2,y+1/2,-z'
'y,-x+1/2,z'
'-y,x+1/2,-z'
'x+1/2,-y,-z'
'-x+1/2,y,z'
'-y,-x,-z'
'y,x,z'
'-x,y+1/2,-z'
'x,-y+1/2,z'
'y+1/2,x+1/2,-z'
'-y+1/2,-x+1/2,z'
loop_
_atom_site_label
_atom_site_type_symbol
_atom_site_fract_x
_atom_site_fract_y
_atom_site_fract_z
Pr1 Pr 0.250 0.250 0.214
Dy1 Dy 0.250 0.750 0.500
Sb1 Sb 0.250 0.250 0.690
Sb2 Sb 0.250 0.750 0.000
```

Model Q:
The following is a GGA-PBE calculation of crystalline PrDySb2 at its relaxed geometry, from OQMD via LeMat-Bulk.

Structure (CIF):
```
data_PrDySb2
_space_group_name_H-M_alt 'P 4/m m m'
_space_group_IT_number 123
_space_group_name_Hall '-P 4 2'
_cell_length_a 4.472
_cell_length_b 4.472
_cell_length_c 6.323
_cell_angle_alpha 90.00
_cell_angle_beta 90.00
_cell_angle_gamma 90.00
loop_
_atom_site_label
_atom_site_type_symbol
_atom_site_fract_x
_atom_site_fract_y
_atom_site_fract_z
Pr1 Pr 0.000 0.000 0.000
Dy1 Dy 0.500 0.500 0.500
Sb1 Sb 0.000 0.000 0.500
Sb2 Sb 0.500 0.500 0.000
```

Order from most stable to least stable according to the calculation: model Q, model P